A relaxed structure of ZrGaB, computed with PBE.

Values from the calculation:
* offset from the most stable computed form: 0.747 eV per atom
* total magnetization: 0.00 μB/atom
* space-group type: F-43m

Lattice parameters (Å, degrees): 4.228 4.228 4.228 60.00 60.00 60.00
Sites, in units of the cell vectors:
B  0.250  0.250  0.250
Ga  0.750  0.750  0.750
Zr  0.000  0.000  0.000